# 1
The following is a DFT calculation (PBE-GGA) of a geometry-optimized YTlCo2 structure.

Summary:
- Total magnetic moment: 0.00 μB/cell
- Distance to the lowest polymorph of the same formula: 123.8 meV per atom
- D(E_F): 1.844 states/eV/f.u.
- Calculated formation energy: 0.10 eV/atom
- E: -5.662 eV/atom

abc: 6.4835 6.4835 6.4835
angles: 90.00 90.00 90.00
Space group Fm-3m (No. 225)
Unique sites:
Y 0.0000 0.0000 0.0000 [4 per cell]
Tl 0.0000 0.0000 0.5000 [4 per cell]
Co 0.2500 0.2500 0.2500 [8 per cell]

# 2
The following is a DFT calculation (PBE-GGA) of a geometry-optimized YTl2Co structure.

Summary:
- Total magnetic moment: 2.67 μB/cell
- D(E_F): 3.077 states/eV/f.u.
- Calculated formation energy: 0.17 eV/atom
- E: -4.401 eV/atom

abc: 4.5352 4.5352 8.8418
angles: 90.00 90.00 90.00
Space group I-4m2 (No. 119)
Unique sites:
Y 0.0000 0.0000 0.0000 [2 per cell]
Tl 0.0000 0.0000 0.5000 [2 per cell]
Tl 0.0000 0.5000 0.2500 [2 per cell]
Co 0.0000 0.5000 0.7500 [2 per cell]

# 3
The following is a DFT calculation (PBE-GGA) of a geometry-optimized YTlCo2 structure.

Summary:
- Total magnetic moment: 5.10 μB/cell
- Distance to the lowest polymorph of the same formula: 536.5 meV per atom
- D(E_F): 4.775 states/eV/f.u.
- Calculated formation energy: 0.51 eV/atom
- E: -5.249 eV/atom

abc: 3.3304 3.3304 23.9983
angles: 90.00 90.00 120.00
Space group R-3m (No. 166, hexagonal axes)
Unique sites:
Y 0.0000 0.0000 0.0000 [3 per cell]
Tl 0.0000 0.0000 0.5000 [3 per cell]
Co 0.0000 0.0000 0.2476 [6 per cell]

# 4
The following is a DFT calculation (PBE-GGA) of a geometry-optimized YTl2Co structure.

Summary:
- Total magnetic moment: 1.06 μB/cell
- D(E_F): 2.535 states/eV/f.u.
- Calculated formation energy: 0.08 eV/atom
- E: -4.492 eV/atom

abc: 3.3996 3.3996 8.1436
angles: 90.00 90.00 90.00
Space group P4mm (No. 99)
Unique sites:
Y 0.0000 0.0000 0.0000 [1 per cell]
Tl 0.0000 0.0000 0.3906 [1 per cell]
Tl 0.5000 0.5000 0.6944 [1 per cell]
Co 0.5000 0.5000 0.1919 [1 per cell]

The highest total magnetic moment belongs to which entry? number 3